Hg2RuPb PBE relaxed; volume = 22.67 A^3/atom; space group = R3m; formation energy = 0.41 eV per atom
1.0
1.6501 0.9527 9.6163
-1.6501 0.9527 9.6163
0.0000 -1.9053 9.6163
Hg Ru Pb
2 1 1
Direct
0.0000 0.0000 0.0000 Hg
0.2428 0.2428 0.2428 Hg
0.7401 0.7401 0.7401 Ru
0.4773 0.4773 0.4773 Pb